Record 1
Compound: Ca2B2Rh5Au
Source: the Alexandria database
Functional: GGA-PBE
Structure: optimized geometry

Cell: 9.9308 9.9308 3.0157 Å, 90.00 90.00 90.00°
Sites, in units of the cell vectors:
Ca 0.1784 0.3216 0.0000
Ca 0.3216 0.8216 0.0000
Ca 0.6784 0.1784 0.0000
Ca 0.8216 0.6784 0.0000
B 0.1221 0.6221 0.0000
B 0.3779 0.1221 0.0000
B 0.6221 0.8779 0.0000
B 0.8779 0.3779 0.0000
Rh 0.0000 0.5000 0.5000
Rh 0.0695 0.7696 0.5000
Rh 0.2304 0.0695 0.5000
Rh 0.2696 0.5695 0.5000
Rh 0.4305 0.2696 0.5000
Rh 0.5000 0.0000 0.5000
Rh 0.5695 0.7304 0.5000
Rh 0.7304 0.4305 0.5000
Rh 0.7696 0.9305 0.5000
Rh 0.9305 0.2304 0.5000
Au 0.0000 0.0000 0.0000
Au 0.5000 0.5000 0.0000

formation energy = -0.481 eV/atom
density of states at the Fermi level = 4.92 states/eV per cell
VASP energy = -0.2286 Ha/atom

=====

Record 2
Compound: ScTaTe2
Source: the Alexandria database
Functional: GGA-PBE
Structure: optimized geometry

Cell: 5.4229 5.4229 4.9310 Å, 98.22 98.22 38.67°
Sites, in units of the cell vectors:
Sc 0.0000 0.0000 0.0000
Ta 0.7991 0.7991 0.4080
Te 0.2736 0.2736 0.9210
Te 0.5186 0.5186 0.5040

E above lowest polymorph = 166 meV/atom
formation energy (no corrections) = -374.3 meV/atom
density of states at the Fermi level = 2.30 states/eV per cell
VASP energy = -0.2385 Ha/atom

=====

Record 3
Compound: KIrRu
Source: the Alexandria database
Functional: GGA-PBE
Structure: optimized geometry

Cell: 5.0579 4.4454 6.5418 Å, 90.00 111.48 90.00°
Sites, in units of the cell vectors:
K 0.2345 0.2500 0.0037
K 0.7655 0.7500 0.9963
Ir 0.4108 0.2500 0.5431
Ir 0.5892 0.7500 0.4569
Ru 0.1302 0.7500 0.5501
Ru 0.8698 0.2500 0.4499

formation energy = 0.500 eV/atom
E above lowest polymorph = 59 meV/atom
density of states at the Fermi level = 3.92 states/eV per cell
VASP energy = -0.2172 Ha/atom

=====

- density of states at the Fermi level of number 3 (KIrRu)?
  3.92 states/eV per cell